(1)
This record from the Alexandria database describes crystalline LiIn2Sb at its relaxed geometry. The functional is PBE-GGA.

## Properties
- uncorrected formation energy (eV/atom) = -0.097
- uncorrected energy (Ha/atom) = -0.1093

Cell lengths 4.0373, 4.0372, 6.1660 Å; angles 90.00, 90.00, 90.00 degrees
Positions (direct):
Li: 0.5000 0.5000 0.2500
In: 0.0000 0.0000 0.4981
Sb: 0.5000 0.5000 0.7500
In: 0.0000 0.0000 0.0019

=====

(2)
This record from the Alexandria database describes crystalline ScMoRh2 at its relaxed geometry. The functional is PBE-GGA.

## Properties
- energy of formation from the pure elements (eV/f.u.) = -1.8
- uncorrected energy (Ha/atom) = -0.3089

Cell lengths 2.9153, 2.9153, 7.4473 Å; angles 90.00, 90.00, 90.00 degrees
Positions (direct):
Mo: 0.5000 0.5000 0.7500
Rh: 0.0000 0.0000 0.5082
Rh: 0.0000 0.0000 0.9918
Sc: 0.5000 0.5000 0.2500